GaBPd3 | GGA-PBE | optimized geometry

Output
Crystal system: cubic
Spin magnetization: 0.00 μB/f.u.
Polymorph energy (0 for the lowest one): 1401 meV/atom
Formation energy: 569 kJ/mol of formula units

Lattice parameters (Å, degrees): 4.6081 4.6081 4.6081 90.00 90.00 90.00
Fractional coordinates of all 5 atoms:
Ga 0.0000 0.0000 0.0000
B 0.5000 0.5000 0.5000
Pd 0.0000 0.0000 0.5000
Pd 0.0000 0.5000 0.0000
Pd 0.5000 0.0000 0.0000

---

Co2PbAu | GGA-PBE | optimized geometry

Output
Crystal system: trigonal
Spin magnetization: 3.04 μB/f.u.
Formation energy: 236 kJ/mol of formula units

Lattice parameters (Å, degrees): 8.2809 8.2809 8.2809 21.77 21.77 21.77
Fractional coordinates of all 4 atoms:
Co 0.2467 0.2467 0.2467
Co 0.7533 0.7533 0.7533
Pb 0.0000 0.0000 0.0000
Au 0.5000 0.5000 0.5000

---

Sm2Dy12Tm | GGA-PBE | optimized geometry

Output
Crystal system: monoclinic
Spin magnetization: 0.00 μB/f.u.
Formation energy: 170 kJ/mol of formula units

Lattice parameters (Å, degrees): 3.5420 5.5947 24.3650 90.00 94.12 90.00
Fractional coordinates of all 15 atoms:
Sm 0.1393 0.0000 0.2714
Sm 0.8607 0.0000 0.7286
Dy 0.0399 0.5000 0.0730
Dy 0.2222 0.5000 0.4449
Dy 0.2862 0.0000 0.5729
Dy 0.3323 0.5000 0.6700
Dy 0.3960 0.5000 0.8001
Dy 0.4285 0.0000 0.8647
Dy 0.5715 0.0000 0.1353
Dy 0.6040 0.5000 0.1999
Dy 0.6677 0.5000 0.3300
Dy 0.7138 0.0000 0.4271
Dy 0.7778 0.5000 0.5551
Dy 0.9601 0.5000 0.9270
Tm 0.5000 0.0000 0.0000